No. 1
Entry from Alexandria via LeMat-Bulk: crystalline VNi2 at its relaxed geometry (PBE-GGA).

## Properties
The formation energy comes out at -184 meV per atom. Its space group is Cmcm. The total energy comes out at -7.077 eV/atom. The value obtained for the density of states at the Fermi level is 16.361 states/eV/cell. The density comes out at 8.05 Mg/m³.

Unit cell a=3.456 b=11.156 c=3.603 alpha=90.00 beta=90.00 gamma=90.00
Sites, in units of the cell vectors:
V1 0.000 0.094 0.250
V2 0.000 0.906 0.750
V3 0.500 0.406 0.750
V4 0.500 0.594 0.250
Ni1 0.000 0.248 0.750
Ni2 0.000 0.424 0.250
Ni3 0.000 0.576 0.750
Ni4 0.000 0.752 0.250
Ni5 0.500 0.076 0.750
Ni6 0.500 0.252 0.250
Ni7 0.500 0.748 0.750
Ni8 0.500 0.924 0.250

---

No. 2
Entry from Alexandria via LeMat-Bulk: crystalline V4Ni at its relaxed geometry (PBE-GGA).

## Properties
The formation energy comes out at 1007 meV per atom. Its distance to the lowest polymorph of the same formula is 63.1 kJ/mol of atoms. Its space group is Pm-3m. The total energy comes out at -7.444 eV/atom. The value obtained for the density of states at the Fermi level is 9.363 states/eV/cell. The density comes out at 5.37 Mg/m³.

Unit cell a=4.331 b=4.331 c=4.331 alpha=90.00 beta=90.00 gamma=90.00
Sites, in units of the cell vectors:
V1 0.000 0.000 0.000
V2 0.000 0.500 0.500
V3 0.500 0.000 0.500
V4 0.500 0.500 0.000
Ni1 0.500 0.500 0.500

---

No. 3
Entry from Alexandria via LeMat-Bulk: crystalline V3Ni at its relaxed geometry (PBE-GGA).

## Properties
The formation energy comes out at 29 meV per atom. Its space group is Imm2. The total energy comes out at -8.255 eV/atom. The value obtained for the density of states at the Fermi level is 10.403 states/eV/cell. The density comes out at 6.85 Mg/m³.

Unit cell a=2.451 b=8.753 c=4.780 alpha=90.00 beta=90.00 gamma=90.00
Sites, in units of the cell vectors:
V1 0.000 0.000 0.000
V2 0.000 0.234 0.681
V3 0.000 0.766 0.681
V4 0.500 0.266 0.181
V5 0.500 0.500 0.500
V6 0.500 0.734 0.181
Ni1 0.000 0.500 0.977
Ni2 0.500 0.000 0.477

---

No. 4
Entry from Alexandria via LeMat-Bulk: crystalline V3Ni7 at its relaxed geometry (PBE-GGA).

## Properties
The formation energy comes out at -176 meV per atom. Its space group is C2/m. The total energy comes out at -6.959 eV/atom. The value obtained for the density of states at the Fermi level is 10.876 states/eV/cell. The density comes out at 8.19 Mg/m³.

Unit cell a=6.712 b=6.712 c=5.105 alpha=100.22 beta=100.22 gamma=30.34
Sites, in units of the cell vectors:
V1 0.000 0.000 0.000
V2 0.201 0.201 0.612
V3 0.799 0.799 0.388
Ni1 0.000 0.000 0.500
Ni2 0.198 0.198 0.101
Ni3 0.402 0.402 0.701
Ni4 0.403 0.403 0.203
Ni5 0.597 0.597 0.797
Ni6 0.598 0.598 0.299
Ni7 0.802 0.802 0.899

---

No. 5
Entry from Alexandria via LeMat-Bulk: crystalline VNi at its relaxed geometry (PBE-GGA).

## Properties
The formation energy comes out at 188 meV per atom. Its space group is P6_3/m. The total energy comes out at -7.262 eV/atom. The value obtained for the density of states at the Fermi level is 11.361 states/eV/cell. The density comes out at 7.04 Mg/m³.

Unit cell a=8.535 b=8.535 c=2.459 alpha=90.00 beta=90.00 gamma=120.00
Sites, in units of the cell vectors:
V1 0.142 0.517 0.250
V2 0.375 0.858 0.250
V3 0.483 0.625 0.250
V4 0.517 0.375 0.750
V5 0.625 0.142 0.750
V6 0.858 0.483 0.750
Ni1 0.059 0.777 0.250
Ni2 0.223 0.282 0.250
Ni3 0.282 0.059 0.750
Ni4 0.718 0.941 0.250
Ni5 0.777 0.718 0.750
Ni6 0.941 0.223 0.750

---

No. 6
Entry from Alexandria via LeMat-Bulk: crystalline V3Ni at its relaxed geometry (PBE-GGA).

## Properties
The formation energy comes out at 71 meV per atom. Its space group is Pmm2. The total energy comes out at -8.213 eV/atom. The value obtained for the density of states at the Fermi level is 5.506 states/eV/cell. The density comes out at 6.84 Mg/m³.

Unit cell a=2.420 b=4.374 c=4.853 alpha=90.00 beta=90.00 gamma=90.00
Sites, in units of the cell vectors:
V1 0.000 0.000 0.000
V2 0.000 0.500 0.283
V3 0.500 0.500 0.777
Ni1 0.500 0.000 0.492

---

No. 7
Entry from Alexandria via LeMat-Bulk: crystalline V4Ni at its relaxed geometry (PBE-GGA).

## Properties
The formation energy comes out at 353 meV per atom. Its distance to the lowest polymorph of the same formula is 0.0 kJ/mol of atoms. Its space group is I4_1/amd. The total energy comes out at -8.098 eV/atom. The value obtained for the density of states at the Fermi level is 12.315 states/eV/cell. The density comes out at 6.09 Mg/m³.

Unit cell a=5.775 b=5.775 c=5.775 alpha=103.75 beta=103.75 gamma=121.64
Sites, in units of the cell vectors:
V1 0.258 0.309 0.552
V2 0.258 0.706 0.948
V3 0.294 0.742 0.552
V4 0.309 0.258 0.052
V5 0.691 0.742 0.948
V6 0.706 0.258 0.448
V7 0.742 0.294 0.052
V8 0.742 0.691 0.448
Ni1 0.125 0.875 0.250
Ni2 0.875 0.125 0.750

---

No. 8
Entry from Alexandria via LeMat-Bulk: crystalline VNi at its relaxed geometry (PBE-GGA).

## Properties
The formation energy comes out at 384 meV per atom. Its space group is P4_2/mnm. The total energy comes out at -7.066 eV/atom. The value obtained for the density of states at the Fermi level is 10.959 states/eV/cell. The density comes out at 6.86 Mg/m³.

Unit cell a=4.724 b=4.724 c=4.758 alpha=90.00 beta=90.00 gamma=90.00
Sites, in units of the cell vectors:
V1 0.180 0.180 0.000
V2 0.320 0.680 0.500
V3 0.680 0.320 0.500
V4 0.820 0.820 0.000
Ni1 0.179 0.179 0.500
Ni2 0.321 0.679 0.000
Ni3 0.679 0.321 0.000
Ni4 0.821 0.821 0.500

---

No. 9
Entry from Alexandria via LeMat-Bulk: crystalline V2Ni3 at its relaxed geometry (PBE-GGA).

## Properties
The formation energy comes out at -113 meV per atom. Its distance to the lowest polymorph of the same formula is 0.0 kJ/mol of atoms. Its space group is I4/mmm. The total energy comes out at -7.229 eV/atom. The value obtained for the density of states at the Fermi level is 13.109 states/eV/cell. The density comes out at 7.72 Mg/m³.

Unit cell a=3.018 b=3.018 c=13.129 alpha=90.00 beta=90.00 gamma=90.00
Sites, in units of the cell vectors:
V1 0.000 0.000 0.106
V2 0.000 0.000 0.894
V3 0.500 0.500 0.394
V4 0.500 0.500 0.606
Ni1 0.000 0.000 0.302
Ni2 0.000 0.000 0.500
Ni3 0.000 0.000 0.698
Ni4 0.500 0.500 0.000
Ni5 0.500 0.500 0.198
Ni6 0.500 0.500 0.802

---

No. 10
Entry from Alexandria via LeMat-Bulk: crystalline V3Ni2 at its relaxed geometry (PBE-GGA).

## Properties
The formation energy comes out at -184 meV per atom. Its space group is P2/m. The total energy comes out at -7.968 eV/atom. The value obtained for the density of states at the Fermi level is 34.152 states/eV/cell. The density comes out at 7.32 Mg/m³.

Unit cell a=8.894 b=4.606 c=8.985 alpha=90.00 beta=90.39 gamma=90.00
Sites, in units of the cell vectors:
V1 0.036 0.000 0.126
V2 0.110 0.000 0.393
V3 0.126 0.500 0.964
V4 0.183 0.247 0.679
V5 0.183 0.753 0.679
V6 0.323 0.254 0.182
V7 0.323 0.746 0.182
V8 0.377 0.000 0.465
V9 0.392 0.500 0.897
V10 0.608 0.500 0.103
V11 0.623 0.000 0.535
V12 0.677 0.254 0.818
V13 0.677 0.746 0.818
V14 0.817 0.247 0.321
V15 0.817 0.753 0.321
V16 0.874 0.500 0.036
V17 0.890 0.000 0.607
V18 0.964 0.000 0.874
Ni1 0.000 0.500 0.500
Ni2 0.067 0.500 0.242
Ni3 0.241 0.000 0.934
Ni4 0.262 0.500 0.435
Ni5 0.432 0.000 0.741
Ni6 0.463 0.500 0.632
Ni7 0.500 0.000 0.000
Ni8 0.537 0.500 0.368
Ni9 0.568 0.000 0.259
Ni10 0.738 0.500 0.565
Ni11 0.759 0.000 0.066
Ni12 0.933 0.500 0.758

---

No. 11
Entry from Alexandria via LeMat-Bulk: crystalline V5Ni at its relaxed geometry (PBE-GGA).

## Properties
The formation energy comes out at -57 meV per atom. Its distance to the lowest polymorph of the same formula is 0.8 kJ/mol of atoms. Its space group is Cmmm. The total energy comes out at -8.619 eV/atom. The value obtained for the density of states at the Fermi level is 14.450 states/eV/cell. The density comes out at 6.70 Mg/m³.

Unit cell a=4.171 b=8.957 c=4.161 alpha=90.00 beta=90.00 gamma=90.00
Sites, in units of the cell vectors:
V1 0.000 0.000 0.000
V2 0.000 0.167 0.500
V3 0.000 0.332 0.000
V4 0.000 0.668 0.000
V5 0.000 0.833 0.500
V6 0.500 0.168 0.000
V7 0.500 0.333 0.500
V8 0.500 0.500 0.000
V9 0.500 0.667 0.500
V10 0.500 0.832 0.000
Ni1 0.000 0.500 0.500
Ni2 0.500 0.000 0.500

---

No. 12
Entry from Alexandria via LeMat-Bulk: crystalline V5Ni7 at its relaxed geometry (PBE-GGA).

## Properties
The formation energy comes out at -189 meV per atom. Its space group is C2/m. The total energy comes out at -7.361 eV/atom. The value obtained for the density of states at the Fermi level is 13.392 states/eV/cell. The density comes out at 7.85 Mg/m³.

Unit cell a=4.461 b=4.461 c=10.287 alpha=107.74 beta=107.74 gamma=46.81
Sites, in units of the cell vectors:
V1 0.000 0.000 0.000
V2 0.010 0.010 0.752
V3 0.331 0.331 0.579
V4 0.669 0.669 0.421
V5 0.990 0.990 0.248
Ni1 0.000 0.000 0.500
Ni2 0.331 0.331 0.332
Ni3 0.332 0.332 0.084
Ni4 0.337 0.337 0.834
Ni5 0.663 0.663 0.166
Ni6 0.668 0.668 0.916
Ni7 0.669 0.669 0.668

---

No. 13
Entry from Alexandria via LeMat-Bulk: crystalline VNi at its relaxed geometry (PBE-GGA).

## Properties
The formation energy comes out at -130 meV per atom. Its space group is Pnma. The total energy comes out at -7.580 eV/atom. The value obtained for the density of states at the Fermi level is 15.027 states/eV/cell. The density comes out at 7.53 Mg/m³.

Unit cell a=9.624 b=3.979 c=5.051 alpha=90.00 beta=90.00 gamma=90.00
Sites, in units of the cell vectors:
V1 0.054 0.250 0.103
V2 0.176 0.750 0.342
V3 0.324 0.250 0.842
V4 0.446 0.750 0.603
V5 0.554 0.250 0.397
V6 0.676 0.750 0.158
V7 0.824 0.250 0.658
V8 0.946 0.750 0.897
Ni1 0.079 0.250 0.606
Ni2 0.193 0.750 0.843
Ni3 0.307 0.250 0.343
Ni4 0.421 0.750 0.106
Ni5 0.579 0.250 0.894
Ni6 0.693 0.750 0.657
Ni7 0.807 0.250 0.157
Ni8 0.921 0.750 0.394

---

No. 14
Entry from Alexandria via LeMat-Bulk: crystalline VNi at its relaxed geometry (PBE-GGA).

## Properties
The formation energy comes out at -125 meV per atom. Its space group is C2/m. The total energy comes out at -7.575 eV/atom. The value obtained for the density of states at the Fermi level is 10.653 states/eV/cell. The density comes out at 7.54 Mg/m³.

Unit cell a=8.414 b=2.537 c=4.579 alpha=90.00 beta=99.10 gamma=90.00
Sites, in units of the cell vectors:
V1 0.121 0.000 0.342
V2 0.379 0.500 0.658
V3 0.621 0.500 0.342
V4 0.879 0.000 0.658
Ni1 0.128 0.500 0.859
Ni2 0.372 0.000 0.141
Ni3 0.628 0.000 0.859
Ni4 0.872 0.500 0.141

---

No. 15
Entry from Alexandria via LeMat-Bulk: crystalline VNi at its relaxed geometry (PBE-GGA).

## Properties
The formation energy comes out at 1129 meV per atom. Its space group is F-43m. The total energy comes out at -6.321 eV/atom. The value obtained for the density of states at the Fermi level is 14.265 states/eV/cell. The density comes out at 5.18 Mg/m³.

Unit cell a=5.200 b=5.200 c=5.200 alpha=90.00 beta=90.00 gamma=90.00
Sites, in units of the cell vectors:
V1 0.000 0.000 0.000
V2 0.000 0.500 0.500
V3 0.500 0.000 0.500
V4 0.500 0.500 0.000
Ni1 0.250 0.250 0.750
Ni2 0.250 0.750 0.250
Ni3 0.750 0.250 0.250
Ni4 0.750 0.750 0.750

---

No. 16
Entry from Alexandria via LeMat-Bulk: crystalline VNi at its relaxed geometry (PBE-GGA).

## Properties
The formation energy comes out at 1328 meV per atom. Its space group is Pm-3n. The total energy comes out at -6.122 eV/atom. The value obtained for the density of states at the Fermi level is 20.220 states/eV/cell. The density comes out at 4.24 Mg/m³.

Unit cell a=6.361 b=6.361 c=6.361 alpha=90.00 beta=90.00 gamma=90.00
Sites, in units of the cell vectors:
V1 0.000 0.250 0.500
V2 0.000 0.750 0.500
V3 0.250 0.500 0.000
V4 0.500 0.000 0.250
V5 0.500 0.000 0.750
V6 0.750 0.500 0.000
Ni1 0.000 0.500 0.250
Ni2 0.000 0.500 0.750
Ni3 0.250 0.000 0.500
Ni4 0.500 0.250 0.000
Ni5 0.500 0.750 0.000
Ni6 0.750 0.000 0.500

---

No. 17
Entry from Alexandria via LeMat-Bulk: crystalline V3Ni at its relaxed geometry (PBE-GGA).

## Properties
The formation energy comes out at 23 meV per atom. Its space group is Pm-3m. The total energy comes out at -8.261 eV/atom. The value obtained for the density of states at the Fermi level is 7.371 states/eV/cell. The density comes out at 6.83 Mg/m³.

Unit cell a=3.719 b=3.719 c=3.719 alpha=90.00 beta=90.00 gamma=90.00
Sites, in units of the cell vectors:
V1 0.000 0.000 0.500
V2 0.000 0.500 0.000
V3 0.500 0.000 0.000
Ni1 0.500 0.500 0.500

---

No. 18
Entry from Alexandria via LeMat-Bulk: crystalline V3Ni at its relaxed geometry (PBE-GGA).

## Properties
The formation energy comes out at 5 meV per atom. Its space group is I4/mmm. The total energy comes out at -8.279 eV/atom. The value obtained for the density of states at the Fermi level is 10.653 states/eV/cell. The density comes out at 6.82 Mg/m³.

Unit cell a=3.596 b=3.596 c=7.967 alpha=90.00 beta=90.00 gamma=90.00
Sites, in units of the cell vectors:
V1 0.000 0.000 0.000
V2 0.000 0.500 0.250
V3 0.000 0.500 0.750
V4 0.500 0.000 0.250
V5 0.500 0.000 0.750
V6 0.500 0.500 0.500
Ni1 0.000 0.000 0.500
Ni2 0.500 0.500 0.000

---

No. 19
Entry from Alexandria via LeMat-Bulk: crystalline V7Ni at its relaxed geometry (PBE-GGA).

## Properties
The formation energy comes out at -60 meV per atom. Its space group is I4/mmm. The total energy comes out at -8.761 eV/atom. The value obtained for the density of states at the Fermi level is 16.424 states/eV/cell. The density comes out at 6.60 Mg/m³.

Unit cell a=4.196 b=4.196 c=11.870 alpha=90.00 beta=90.00 gamma=90.00
Sites, in units of the cell vectors:
V1 0.000 0.000 0.000
V2 0.000 0.000 0.246
V3 0.000 0.000 0.754
V4 0.000 0.500 0.126
V5 0.000 0.500 0.374
V6 0.000 0.500 0.626
V7 0.000 0.500 0.874
V8 0.500 0.000 0.126
V9 0.500 0.000 0.374
V10 0.500 0.000 0.626
V11 0.500 0.000 0.874
V12 0.500 0.500 0.254
V13 0.500 0.500 0.500
V14 0.500 0.500 0.746
Ni1 0.000 0.000 0.500
Ni2 0.500 0.500 0.000

---

No. 20
Entry from Alexandria via LeMat-Bulk: crystalline V5Ni at its relaxed geometry (PBE-GGA).

## Properties
The formation energy comes out at -65 meV per atom. Its distance to the lowest polymorph of the same formula is 0.0 kJ/mol of atoms. Its space group is Cmmm. The total energy comes out at -8.627 eV/atom. The value obtained for the density of states at the Fermi level is 12.727 states/eV/cell. The density comes out at 6.71 Mg/m³.

Unit cell a=4.228 b=12.187 c=3.012 alpha=90.00 beta=90.00 gamma=90.00
Sites, in units of the cell vectors:
V1 0.000 0.000 0.000
V2 0.000 0.163 0.500
V3 0.000 0.331 0.000
V4 0.000 0.669 0.000
V5 0.000 0.837 0.500
V6 0.500 0.169 0.000
V7 0.500 0.337 0.500
V8 0.500 0.500 0.000
V9 0.500 0.663 0.500
V10 0.500 0.831 0.000
Ni1 0.000 0.500 0.500
Ni2 0.500 0.000 0.500